Here is a geometry-optimized Sr7Cd2Pb2 structure from the Alexandria database. Energies are from PBE.

Computed properties:
As for the total energy: -2.09 eV/atom. The value obtained for the formation energy is -0.18 eV/atom.

a = 7.654 Å, b = 7.654 Å, c = 8.584 Å
α = 90.00°, β = 90.00°, γ = 109.73°
Fractional positions:
Sr: 0.000 0.000 0.000
Sr: 0.000 0.500 0.280
Sr: 0.000 0.500 0.720
Sr: 0.500 0.000 0.280
Sr: 0.500 0.000 0.720
Sr: 0.500 0.500 0.250
Sr: 0.500 0.500 0.750
Cd: 0.287 0.713 0.000
Cd: 0.713 0.287 0.000
Pb: 0.182 0.182 0.500
Pb: 0.818 0.818 0.500

=====

Here is a geometry-optimized SrP2RuPt structure from the Alexandria database. Energies are from PBE.

Computed properties:
As for the total energy: -6.38 eV/atom. The value obtained for the formation energy is -0.82 eV/atom.

a = 6.646 Å, b = 6.646 Å, c = 6.646 Å
α = 145.20°, β = 145.20°, γ = 50.03°
Fractional positions:
Sr: 0.000 0.000 0.000
P: 0.361 0.361 0.000
P: 0.639 0.639 0.000
Ru: 0.750 0.250 0.500
Pt: 0.250 0.750 0.500

=====

Here is a geometry-optimized Th5Sb4N structure from the Alexandria database. Energies are from PBE.

Computed properties:
The uncorrected formation energy is -871 meV/atom. As for the total energy: -7.06 eV/atom.

a = 7.513 Å, b = 7.513 Å, c = 7.513 Å
α = 99.92°, β = 99.92°, γ = 130.96°
Fractional positions:
Th: 0.000 0.000 0.000
Th: 0.207 0.364 0.654
Th: 0.364 0.710 0.157
Th: 0.553 0.207 0.843
Th: 0.710 0.553 0.346
Sb: 0.042 0.647 0.770
Sb: 0.273 0.042 0.395
Sb: 0.647 0.877 0.605
Sb: 0.877 0.273 0.230
N: 0.433 0.433 0.000

=====

What did the second record say?
Here is a geometry-optimized SrP2RuPt structure from the Alexandria database. Energies are from PBE.

Computed properties:
As for the total energy: -6.38 eV/atom. The value obtained for the formation energy is -0.82 eV/atom.

a = 6.646 Å, b = 6.646 Å, c = 6.646 Å
α = 145.20°, β = 145.20°, γ = 50.03°
Fractional positions:
Sr: 0.000 0.000 0.000
P: 0.361 0.361 0.000
P: 0.639 0.639 0.000
Ru: 0.750 0.250 0.500
Pt: 0.250 0.750 0.500